Record 1
A plane-wave DFT calculation with PBE was carried out for FeNi2Mo after structural relaxation.

abc: 4.089 4.089 4.089
angles: 60.00 60.00 60.00
Atoms (fractional coordinates):
Mo 0.500 0.500 0.500
Fe 0.000 0.000 0.000
Ni 0.750 0.750 0.750
Ni 0.250 0.250 0.250

Summary:
The value obtained for the energy above the lowest structure with this stoichiometry is 297 meV per atom. The energy of formation from the pure elements comes out at 1.153 eV/f.u. As for the symmetry: Fm-3m (225). As for the crystal system: cubic. The total magnetization is 0.0000 μB per atom.



Record 2
A plane-wave DFT calculation with PBE was carried out for FeNi2Mo after structural relaxation.

abc: 8.635 8.635 8.635
angles: 17.38 17.38 17.38
Each line ends with the local moment (μB).
Atoms (fractional coordinates):
Fe 0.494 0.494 0.494  2.44
Mo 0.252 0.252 0.252  -0.10
Ni 0.004 0.004 0.004  0.20
Ni 0.750 0.750 0.750  0.56

Summary:
The value obtained for the energy above the lowest structure with this stoichiometry is 138 meV per atom. The energy of formation from the pure elements comes out at 0.516 eV/f.u. As for the symmetry: R3m (160). As for the crystal system: trigonal. The total magnetization is 0.7539 μB per atom.



Record 3
A plane-wave DFT calculation with PBE was carried out for Fe2NiMo after structural relaxation.

abc: 3.527 3.527 8.650
angles: 78.24 78.24 90.00
Atoms (fractional coordinates):
Ni 0.500 0.500 0.000
Ni 0.250 0.750 0.500
Fe 0.564 0.125 0.250
Fe 0.186 0.625 0.250
Fe 0.375 0.436 0.750
Fe 0.875 0.814 0.750
Mo 0.750 0.250 0.500
Mo 0.000 0.000 0.000

Summary:
The energy of formation from the pure elements comes out at 2.261 eV/f.u. As for the symmetry: I-42d (122). As for the crystal system: tetragonal. The total magnetization is 0.0000 μB per atom.